No. 1
Density functional theory data (PBE) for a relaxed LaIn2HgAs crystal.

The calculation puts the calculated formation energy at 123.1 meV per atom. As for the space group: P4/mmm.

abc: 5.403 5.403 5.245
angles: 90.00 90.00 90.00
Atoms (fractional coordinates):
La  0.000  0.000  0.000
In  0.000  0.500  0.500
In  0.500  0.000  0.500
Hg  0.500  0.500  0.000
As  0.500  0.500  0.500

***

No. 2
Density functional theory data (PBE) for a relaxed LiInHgAs crystal.

The calculation puts the calculated formation energy at -124.5 meV per atom. As for the space group: F-43m.

abc: 4.996 4.996 4.996
angles: 60.00 60.00 60.00
Atoms (fractional coordinates):
Li  0.000  0.000  0.000
In  0.500  0.500  0.500
Hg  0.250  0.250  0.250
As  0.750  0.750  0.750

***

No. 3
Density functional theory data (PBE) for a relaxed InHgAsO4 crystal.

As for the space group: C2/m. Its formation energy (no corrections) is -1.0474 eV per atom.

abc: 6.439 6.439 6.535
angles: 101.01 101.01 58.28
Atoms (fractional coordinates):
In  0.207  0.207  0.345
In  0.793  0.793  0.655
Hg  0.463  0.463  0.762
Hg  0.537  0.537  0.238
As  0.138  0.138  0.781
As  0.862  0.862  0.219
O  0.013  0.013  0.224
O  0.030  0.618  0.377
O  0.228  0.228  0.026
O  0.382  0.970  0.623
O  0.618  0.030  0.377
O  0.772  0.772  0.974
O  0.970  0.382  0.623
O  0.987  0.987  0.776

***

No. 4
Density functional theory data (PBE) for a relaxed InHg2AsPb crystal.

The calculation puts the calculated formation energy at 424.6 meV per atom. As for the space group: P4/mmm.

abc: 5.853 5.853 5.459
angles: 90.00 90.00 90.00
Atoms (fractional coordinates):
In  0.000  0.000  0.000
Hg  0.000  0.500  0.500
Hg  0.500  0.000  0.500
As  0.500  0.500  0.000
Pb  0.500  0.500  0.500

***

no.,V (Å³/atom)
1,30.62
2,22.04
3,16.06
4,37.40